1.
{
  "formula": "NdCuNiH6",
  "functional": "PBE-GGA",
  "state": "relaxed",
  "sg": "No. 187",
  "crystal_system": "hexagonal",
  "lattice_angstrom": [[4.433, 0.000, 0.000], [-2.217, 3.839, 0.000], [0.000, 0.000, 4.366]],
  "species": ["Nd", "Cu", "Ni", "H", "H", "H", "H", "H", "H"],
  "fractional_positions": [[0.000, 0.000, 0.000], [0.333, 0.667, 0.500], [0.667, 0.333, 0.500], [0.508, 0.015, 0.251], [0.508, 0.015, 0.749], [0.508, 0.492, 0.251], [0.508, 0.492, 0.749], [0.985, 0.492, 0.251], [0.985, 0.492, 0.749]]
}

2.
{
  "formula": "Ba2Ag12Pd5",
  "functional": "PBE-GGA",
  "state": "relaxed",
  "sg": "No. 166",
  "formation_energy_ev_per_atom": -0.168,
  "crystal_system": "trigonal",
  "lattice_angstrom": [[4.871, 2.812, 4.706], [-4.871, 2.812, 4.706], [0.000, -5.625, 4.706]],
  "species": ["Ba", "Ba", "Ag", "Ag", "Ag", "Ag", "Ag", "Ag", "Ag", "Ag", "Ag", "Ag", "Ag", "Ag", "Pd", "Pd", "Pd", "Pd", "Pd"],
  "fractional_positions": [[0.171, 0.171, 0.171], [0.829, 0.829, 0.829], [0.156, 0.156, 0.649], [0.156, 0.649, 0.156], [0.211, 0.500, 0.789], [0.211, 0.789, 0.500], [0.351, 0.844, 0.844], [0.500, 0.211, 0.789], [0.500, 0.789, 0.211], [0.649, 0.156, 0.156], [0.789, 0.211, 0.500], [0.789, 0.500, 0.211], [0.844, 0.351, 0.844], [0.844, 0.844, 0.351], [0.000, 0.500, 0.500], [0.402, 0.402, 0.402], [0.500, 0.000, 0.500], [0.500, 0.500, 0.000], [0.598, 0.598, 0.598]]
}

3.
{
  "formula": "HgTeRh2",
  "functional": "PBE-GGA",
  "state": "relaxed",
  "sg": "No. 225",
  "raw_formation_energy_ev_per_atom": 0.11,
  "crystal_system": "cubic",
  "lattice_angstrom": [[6.588, 0.000, 0.000], [0.000, 6.588, 0.000], [0.000, 0.000, 6.588]],
  "species": ["Hg", "Hg", "Hg", "Hg", "Te", "Te", "Te", "Te", "Rh", "Rh", "Rh", "Rh", "Rh", "Rh", "Rh", "Rh"],
  "fractional_positions": [[0.000, 0.000, 0.000], [0.000, 0.500, 0.500], [0.500, 0.000, 0.500], [0.500, 0.500, 0.000], [0.000, 0.000, 0.500], [0.000, 0.500, 0.000], [0.500, 0.000, 0.000], [0.500, 0.500, 0.500], [0.250, 0.250, 0.250], [0.250, 0.250, 0.750], [0.250, 0.750, 0.250], [0.250, 0.750, 0.750], [0.750, 0.250, 0.250], [0.750, 0.250, 0.750], [0.750, 0.750, 0.250], [0.750, 0.750, 0.750]]
}

4.
{
  "formula": "Zr3HgN",
  "functional": "PBE-GGA",
  "state": "relaxed",
  "sg": "No. 14",
  "raw_formation_energy_ev_per_atom": -0.58,
  "crystal_system": "monoclinic",
  "lattice_angstrom": [[8.075, 0.000, 0.000], [0.000, 5.896, 0.000], [-6.080, 0.000, 7.826]],
  "species": ["Zr", "Zr", "Zr", "Zr", "Zr", "Zr", "Zr", "Zr", "Zr", "Zr", "Zr", "Zr", "Hg", "Hg", "Hg", "Hg", "N", "N", "N", "N"],
  "fractional_positions": [[0.055, 0.054, 0.277], [0.055, 0.446, 0.777], [0.302, 0.250, 0.151], [0.302, 0.250, 0.651], [0.410, 0.724, 0.455], [0.410, 0.776, 0.955], [0.590, 0.224, 0.045], [0.590, 0.276, 0.545], [0.698, 0.750, 0.349], [0.698, 0.750, 0.849], [0.945, 0.554, 0.223], [0.945, 0.946, 0.723], [0.170, 0.750, 0.085], [0.170, 0.750, 0.585], [0.830, 0.250, 0.415], [0.830, 0.250, 0.915], [0.259, 0.128, 0.879], [0.259, 0.372, 0.379], [0.741, 0.628, 0.621], [0.741, 0.872, 0.121]]
}

5.
{
  "formula": "Ce4IrPb",
  "functional": "PBE-GGA",
  "state": "relaxed",
  "sg": "No. 11",
  "formation_energy_ev_per_atom": -0.411,
  "crystal_system": "monoclinic",
  "lattice_angstrom": [[5.795, 0.000, 0.000], [0.000, 6.674, 0.000], [-1.911, 0.000, 8.473]],
  "species": ["Ce", "Ce", "Ce", "Ce", "Ce", "Ce", "Ce", "Ce", "Ir", "Ir", "Pb", "Pb"],
  "fractional_positions": [[0.154, 0.250, 0.047], [0.206, 0.750, 0.370], [0.342, 0.534, 0.767], [0.342, 0.966, 0.767], [0.658, 0.034, 0.233], [0.658, 0.466, 0.233], [0.794, 0.250, 0.630], [0.846, 0.750, 0.953], [0.318, 0.750, 0.074], [0.682, 0.250, 0.926], [0.226, 0.250, 0.427], [0.774, 0.750, 0.573]]
}

6.
{
  "formula": "InRe2W",
  "functional": "PBE-GGA",
  "state": "relaxed",
  "sg": "No. 65",
  "formation_energy_ev_per_atom": 0.430,
  "crystal_system": "orthorhombic",
  "lattice_angstrom": [[3.116, 0.000, 0.000], [0.000, 4.687, 0.000], [0.000, 0.000, 9.177]],
  "species": ["In", "In", "Re", "Re", "Re", "Re", "W", "W"],
  "fractional_positions": [[0.000, 0.000, 0.000], [0.500, 0.500, 0.000], [0.000, 0.500, 0.266], [0.000, 0.500, 0.734], [0.500, 0.000, 0.266], [0.500, 0.000, 0.734], [0.000, 0.000, 0.500], [0.500, 0.500, 0.500]]
}

Total energy (computed, eV/atom): -4.147 -3.538 -4.429 -7.429 -6.462 -9.717